The following is a GGA-PBEsol calculation of crystalline RbVP2O7 at its relaxed geometry, from Alexandria.

The structure belongs to space group P2_1/c (No. 14); the cell edges are 7.5030, 10.0486 and 8.2571 Å and the angles 90.00°, 105.93° and 90.00°. The inequivalent atoms are Rb at (0.1847, 0.1831, 0.0517), V at (0.2370, 0.5999, 0.2613), P at (0.1324, 0.5966, 0.8324), P at (0.4362, 0.6344, 0.6885), O at (0.0059, 0.5019, 0.2738), O at (0.0866, 0.7371, 0.7605), O at (0.1483, 0.5891, 0.0182), O at (0.3208, 0.6052, 0.5094), O at (0.3323, 0.5553, 0.8089), O at (0.3686, 0.0766, 0.7684) and O at (0.4451, 0.7185, 0.2385).

For the uncorrected formation energy, the calculation gives -221.9 kJ per mole of atoms.